First-principles (PBE-GGA) data for an optimized crystal structure of CrInRe2, as listed in Alexandria via LeMat-Bulk.

Cell: 5.0082 5.0082 4.6676 Å, 107.12 107.12 34.03°
Positions (direct):
Cr 0.0000 0.0000 0.0000
In 0.5000 0.5000 0.5000
Re 0.2735 0.2735 0.7807
Re 0.7265 0.7265 0.2193

calculated volume = 62.33 Å³/cell
space group = C2/m (12)
formation energy from the elements = 0.37 eV per atom
VASP energy = -8.9453 eV/atom